No. 1
Material: K3USn2O9
Method: DFT, GGA-PBE
State: optimized geometry

a b c (Å): 5.9079 5.9079 7.2639
angles (deg): 90.00 90.00 120.00
With the nearest neighbours (Å) after each atom.
Element x y z (fractional)
K 0.0000 0.0000 0.0000  12 O 2.95-2.96
K 0.3333 0.6667 0.6744  12 O 2.92-3.01
K 0.6667 0.3333 0.3256  12 O 2.92-3.01
U 0.0000 0.0000 0.5000  6 O 2.09
Sn 0.3333 0.6667 0.1625  6 O 2.07-2.11
Sn 0.6667 0.3333 0.8375  6 O 2.07-2.11
O 0.0000 0.5000 0.0000  2 Sn 2.07
O 0.1664 0.3328 0.3334  1 U 2.09, 1 Sn 2.11
O 0.1664 0.8336 0.3334  1 U 2.09, 1 Sn 2.11
O 0.3328 0.1664 0.6666  1 U 2.09, 1 Sn 2.11
O 0.5000 0.0000 0.0000  2 Sn 2.07
O 0.5000 0.5000 0.0000  2 Sn 2.07
O 0.6672 0.8336 0.3334  1 U 2.09, 1 Sn 2.11
O 0.8336 0.1664 0.6666  1 U 2.09, 1 Sn 2.11
O 0.8336 0.6672 0.6666  1 U 2.09, 1 Sn 2.11

Summary:
crystal system = trigonal
space-group type = P-3m1, No. 164
total DFT energy (no corrections) = -6.4829 eV per atom


No. 2
Material: K2USnO6
Method: DFT, GGA-PBE
State: optimized geometry

a b c (Å): 5.9391 5.9391 5.9391
angles (deg): 60.00 60.00 60.00
With the nearest neighbours (Å) after each atom.
Element x y z (fractional)
K 0.2500 0.2500 0.2500  12 O 2.97
K 0.7500 0.7500 0.7500  12 O 2.97
U 0.0000 0.0000 0.0000  6 O 2.09
Sn 0.5000 0.5000 0.5000  6 O 2.11
O 0.2493 0.2493 0.7507  1 U 2.09, 1 Sn 2.11
O 0.2493 0.7507 0.2493  1 U 2.09, 1 Sn 2.11
O 0.2493 0.7507 0.7507  1 U 2.09, 1 Sn 2.11
O 0.7507 0.2493 0.2493  1 U 2.09, 1 Sn 2.11
O 0.7507 0.2493 0.7507  1 U 2.09, 1 Sn 2.11
O 0.7507 0.7507 0.2493  1 U 2.09, 1 Sn 2.11

Summary:
crystal system = cubic
space-group type = Fm-3m, No. 225
total DFT energy (no corrections) = -7.0745 eV per atom


no.,ΔE_f (raw) (eV/atom)
1,-2.002
2,-2.351